{"formula": "UCdTc", "functional": "PBE-GGA", "state": "optimized geometry", "formation_enthalpy_0k_ev_per_atom": 1.183, "vol_a3_per_atom": 23.8, "lattice": [[-3.807, -1.463, -2.254], [-3.604, 2.891, -0.608], [-0.972, 1.651, -4.248]], "species": ["Cd", "Tc", "U"], "frac_coords": [[0.750, 0.750, 0.750], [0.250, 0.250, 0.250], [0.000, 0.000, 0.000]]}

---

{"formula": "HfCoBiOs", "functional": "PBE-GGA", "state": "optimized geometry", "e_above_lowest_polymorph_mev_per_atom": 0.0, "vol_a3_per_atom": 17.4, "lattice": [[0.000, 3.268, 3.268], [3.268, 0.000, 3.268], [3.268, 3.268, 0.000]], "species": ["Bi", "Co", "Hf", "Os"], "frac_coords": [[0.000, 0.000, 0.000], [0.750, 0.750, 0.750], [0.500, 0.500, 0.500], [0.250, 0.250, 0.250]]}

---

{"formula": "TlAuO3", "functional": "PBE-GGA", "state": "optimized geometry", "final_energy_ev_per_atom": -4.27, "vol_a3_per_atom": 13.2, "lattice": [[2.883, -1.664, -4.598], [-2.883, -1.664, -4.598], [0.000, 3.329, -4.598]], "species": ["Au", "Au", "O", "O", "O", "O", "O", "O", "Tl", "Tl"], "frac_coords": [[0.000, 0.000, 0.000], [0.500, 0.500, 0.500], [0.750, 0.369, 0.131], [0.631, 0.869, 0.250], [0.131, 0.750, 0.369], [0.869, 0.250, 0.631], [0.369, 0.131, 0.750], [0.250, 0.631, 0.869], [0.250, 0.250, 0.250], [0.750, 0.750, 0.750]]}